No. 1
Sr2Ca6AgRh | GGA-PBE | optimized geometry

Properties
DOS(E_F)	8.28	states/eV/cell
DFT formation energy	-1.74	eV per formula unit
E	-27.31	eV/cell
magnetic moment	0.00	μB/f.u.

abc: 8.199 8.199 8.199
angles: 60.00 60.00 90.00
Fractional positions:
Sr 0.250 0.750 0.500
Sr 0.750 0.250 0.500
Ca 0.260 0.740 0.000
Ca 0.740 0.740 0.000
Ca 0.260 0.260 0.480
Ca 0.740 0.260 0.000
Ca 0.260 0.260 0.000
Ca 0.740 0.740 0.520
Ag 0.000 0.000 0.000
Rh 0.500 0.500 0.000



No. 2
CaTbAgRh | GGA-PBE | optimized geometry

Properties
offset from the most stable computed form	0	meV per atom
DOS(E_F)	2.21	states/eV/cell
DFT formation energy	-2.02	eV per formula unit
E	-18.85	eV/cell
magnetic moment	0.00	μB/f.u.

abc: 3.501 3.501 7.428
angles: 90.00 90.00 90.00
Fractional positions:
Ca 0.500 0.500 0.802
Tb 0.500 0.500 0.351
Ag 0.000 0.000 0.084
Rh 0.000 0.000 0.548



No. 3
CaTbAgRh | GGA-PBE | optimized geometry

Properties
offset from the most stable computed form	63	meV per atom
DOS(E_F)	3.15	states/eV/cell
DFT formation energy	-1.77	eV per formula unit
E	-18.60	eV/cell
magnetic moment	0.00	μB/f.u.

abc: 4.999 4.999 4.999
angles: 60.00 60.00 60.00
Fractional positions:
Rh 0.750 0.750 0.750
Ca 0.500 0.500 0.500
Tb 0.000 0.000 0.000
Ag 0.250 0.250 0.250



No. 4
CaTlAgRh | GGA-PBE | optimized geometry

Properties
DOS(E_F)	2.01	states/eV/cell
DFT formation energy	-0.61	eV per formula unit
E	-15.18	eV/cell
magnetic moment	0.00	μB/f.u.

abc: 4.876 4.876 4.876
angles: 60.00 60.00 60.00
Fractional positions:
Tl 0.500 0.500 0.500
Rh 0.750 0.750 0.750
Ca 0.000 0.000 0.000
Ag 0.250 0.250 0.250



No. 5
CaTmAgRh | GGA-PBE | optimized geometry

Properties
offset from the most stable computed form	0	meV per atom
DOS(E_F)	2.53	states/eV/cell
DFT formation energy	-2.15	eV per formula unit
E	-18.82	eV/cell
magnetic moment	0.00	μB/f.u.

abc: 3.449 3.449 7.437
angles: 90.00 90.00 90.00
Fractional positions:
Ca 0.500 0.500 0.801
Tm 0.500 0.500 0.350
Ag 0.000 0.000 0.090
Rh 0.000 0.000 0.544



No. 6
CaTmAgRh | GGA-PBE | optimized geometry

Properties
offset from the most stable computed form	81	meV per atom
DOS(E_F)	3.83	states/eV/cell
DFT formation energy	-1.82	eV per formula unit
E	-18.50	eV/cell
magnetic moment	0.00	μB/f.u.

abc: 4.953 4.953 4.953
angles: 60.00 60.00 60.00
Fractional positions:
Ca 0.000 0.000 0.000
Tm 0.500 0.500 0.500
Rh 0.250 0.250 0.250
Ag 0.750 0.750 0.750